## 1
BaSc3Br PBE relaxed; mass density = 3.47 g cm⁻³; D(E_F) = 3.9 states/eV/f.u.
1.0
-3.956 -3.301 -1.993
3.034 -4.427 1.311
-2.380 -0.156 4.983
Sc Ba Br
3 1 1
Direct
0.000 0.500 0.000
0.000 0.000 0.500
0.500 0.000 0.000
0.000 0.000 0.000
0.500 0.500 0.500

---

## 2
BaSc3Br PBE relaxed; mass density = 3.92 g cm⁻³; D(E_F) = 11.3 states/eV/f.u.
1.0
5.305 0.000 0.000
0.000 5.305 0.000
0.000 0.000 5.305
Sc Ba Br
3 1 1
Direct
0.000 0.500 0.000
0.000 0.000 0.500
0.500 0.000 0.000
0.500 0.500 0.500
0.000 0.000 0.000

---

The most stable of them is 2.

---

## 1
BaScBr3 PBE relaxed; mass density = 4.55 g cm⁻³; D(E_F) = 4.6 states/eV/f.u.
1.0
-4.169 3.354 -0.342
-2.658 -2.935 3.615
2.074 2.981 3.945
Sc Ba Br
1 1 3
Direct
0.000 0.000 0.000
0.500 0.500 0.500
0.000 0.500 0.000
0.000 0.000 0.500
0.500 0.000 0.000

---

## 2
BaScBr3 PBE relaxed; mass density = 2.87 g cm⁻³; D(E_F) = 21.2 states/eV/f.u.
1.0
6.250 0.000 0.000
0.000 6.250 0.000
0.000 0.000 6.250
Sc Ba Br
1 1 3
Direct
0.500 0.500 0.500
0.000 0.000 0.000
0.000 0.500 0.000
0.000 0.000 0.500
0.500 0.000 0.000

---

The most stable of them is 1.

---

## 1
Ba3SeBr3 PBE relaxed; mass density = 4.11 g cm⁻³; D(E_F) = 3.1 states/eV/f.u.
1.0
8.755 1.309 3.274
2.868 8.375 3.274
1.520 1.267 9.334
Ba Se Br
6 2 6
Direct
0.997 0.997 0.753
0.500 0.000 0.234
0.000 0.500 0.234
0.500 0.000 0.766
0.000 0.500 0.766
0.003 0.003 0.247
0.240 0.240 0.010
0.760 0.760 0.990
0.248 0.248 0.502
0.247 0.753 0.500
0.753 0.247 0.500
0.247 0.753 0.000
0.753 0.247 0.000
0.752 0.752 0.498

---

## 2
Ba3SeBr3 PBE relaxed; mass density = 4.23 g cm⁻³; D(E_F) = 3.3 states/eV/f.u.
1.0
-4.905 0.605 -4.368
1.432 -5.962 -2.433
-4.171 -2.757 4.302
Ba Se Br
3 1 3
Direct
0.500 0.000 0.500
0.500 0.500 0.000
0.000 0.500 0.500
0.500 0.500 0.500
0.000 0.500 0.000
0.000 0.000 0.500
0.500 0.000 0.000

---

The most stable of them is 2.

---

## 1
BaSeBr2 PBE relaxed; mass density = 4.39 g cm⁻³; D(E_F) = 1.1 states/eV/f.u.
1.0
8.074 0.553 -0.589
6.653 4.609 -0.589
1.478 0.518 4.121
Ba Br Se
1 2 1
Direct
0.189 0.189 0.311
0.022 0.022 0.979
0.769 0.769 0.730
0.521 0.521 0.480

---

## 2
BaSeBr2 PBE relaxed; mass density = 5.19 g cm⁻³; D(E_F) = 4.3 states/eV/f.u.
1.0
-3.263 -2.560 -2.024
3.549 -3.367 -1.462
-0.666 -2.590 4.349
Ba Br Se
1 2 1
Direct
0.500 0.000 0.500
0.000 0.000 0.000
0.000 0.500 0.500
0.500 0.500 0.000

---

The most stable of them is 1.